No. 1
Below is a relaxed structure of Ga2Cu7Ge, with properties calculated at the PBE-GGA level.

a = 4.0751 Å, b = 4.0751 Å, c = 9.8797 Å
α = 90.00°, β = 90.00°, γ = 120.00°
With the nearest neighbours (Å) after each atom.
Atoms (fractional coordinates):
Ga 0.0000 0.0000 0.0000  8 Cu 2.43-2.54
Ga 0.3333 0.6667 0.6482  8 Cu 2.51-2.76
Cu 0.0000 0.0000 0.2458  1 Ga 2.43, 1 Cu 2.54, 3 Ge 2.56
Cu 0.0000 0.0000 0.5025  5 Cu 2.43-2.58
Cu 0.0000 0.0000 0.7485  4 Cu 2.43-2.50, 4 Ga 2.48-2.55
Cu 0.3333 0.6667 0.3946  3 Ge 2.40, 1 Ga 2.51, 3 Cu 2.58
Cu 0.3333 0.6667 0.9122  3 Cu 2.47, 4 Ga 2.51-2.61
Cu 0.6667 0.3333 0.0961  1 Ge 2.48, 3 Ga 2.54, 1 Cu 2.58
Cu 0.6667 0.3333 0.8352  7 Cu 2.47-2.58
Ge 0.6667 0.3333 0.3468  7 Cu 2.40-2.56

Results
As for the formation energy: 0.034 eV per atom.

No. 2
Below is a relaxed structure of AcNdCdOs, with properties calculated at the PBE-GGA level.

a = 7.5231 Å, b = 7.5231 Å, c = 7.5231 Å
α = 90.00°, β = 90.00°, γ = 90.00°
With the nearest neighbours (Å) after each atom.
Atoms (fractional coordinates):
Ac 0.0000 0.0000 0.0000  4 Os 3.26, 4 Cd 3.26
Ac 0.0000 0.5000 0.5000  4 Os 3.26, 4 Cd 3.26
Ac 0.5000 0.0000 0.5000  4 Os 3.26, 4 Cd 3.26
Ac 0.5000 0.5000 0.0000  4 Os 3.26, 4 Cd 3.26
Nd 0.0000 0.0000 0.5000  4 Cd 3.26, 4 Os 3.26
Nd 0.0000 0.5000 0.0000  4 Cd 3.26, 4 Os 3.26
Nd 0.5000 0.0000 0.0000  4 Cd 3.26, 4 Os 3.26
Nd 0.5000 0.5000 0.5000  4 Cd 3.26, 4 Os 3.26
Cd 0.2500 0.2500 0.7500  4 Ac 3.26, 4 Nd 3.26
Cd 0.2500 0.7500 0.2500  4 Ac 3.26, 4 Nd 3.26
Cd 0.7500 0.2500 0.2500  4 Ac 3.26, 4 Nd 3.26
Cd 0.7500 0.7500 0.7500  4 Ac 3.26, 4 Nd 3.26
Os 0.2500 0.2500 0.2500  4 Nd 3.26, 4 Ac 3.26
Os 0.2500 0.7500 0.7500  4 Ac 3.26, 4 Nd 3.26
Os 0.7500 0.2500 0.7500  4 Ac 3.26, 4 Nd 3.26
Os 0.7500 0.7500 0.2500  4 Ac 3.26, 4 Nd 3.26

Results
As for the formation energy: 0.038 eV per atom.

No. 3
Below is a relaxed structure of LiErH6Ir2, with properties calculated at the PBE-GGA level.

a = 5.9275 Å, b = 5.9275 Å, c = 5.3469 Å
α = 100.03°, β = 100.03°, γ = 98.11°
With the nearest neighbours (Å) after each atom.
Atoms (fractional coordinates):
Li 0.0943 0.9057 0.7500  6 H 1.91-2.07
Li 0.9057 0.0943 0.2500  6 H 1.91-2.07
Er 0.3303 0.6697 0.2500  10 H 2.29-2.43
Er 0.6697 0.3303 0.7500  10 H 2.29-2.43
H 0.0213 0.8134 0.3798  1 Ir 1.67
H 0.0434 0.5922 0.8678  1 Ir 1.62
H 0.1866 0.9787 0.1202  1 Ir 1.67
H 0.3234 0.3265 0.9323  2 Ir 1.76-1.82
H 0.3265 0.3234 0.4323  2 Ir 1.76-1.82
H 0.4078 0.9566 0.6322  1 Ir 1.62
H 0.5922 0.0434 0.3678  1 Ir 1.62
H 0.6735 0.6766 0.5677  2 Ir 1.76-1.82
H 0.6766 0.6735 0.0677  2 Ir 1.76-1.82
H 0.8134 0.0213 0.8798  1 Ir 1.67
H 0.9566 0.4078 0.1322  1 Ir 1.62
H 0.9787 0.1866 0.6202  1 Ir 1.67
Ir 0.1709 0.4342 0.6779  3 H 1.62-1.76
Ir 0.4342 0.1709 0.1779  3 H 1.62-1.76
Ir 0.5658 0.8291 0.8221  3 H 1.62-1.76
Ir 0.8291 0.5658 0.3221  3 H 1.62-1.76

No. 4
Below is a relaxed structure of YTiOs2, with properties calculated at the PBE-GGA level.

a = 6.4992 Å, b = 6.4992 Å, c = 6.4992 Å
α = 90.00°, β = 90.00°, γ = 90.00°
With the nearest neighbours (Å) after each atom.
Atoms (fractional coordinates):
Y 0.0000 0.0000 0.0000  8 Os 2.81
Y 0.0000 0.5000 0.5000  8 Os 2.81
Y 0.5000 0.0000 0.5000  8 Os 2.81
Y 0.5000 0.5000 0.0000  8 Os 2.81
Ti 0.0000 0.0000 0.5000  8 Os 2.81
Ti 0.0000 0.5000 0.0000  8 Os 2.81
Ti 0.5000 0.0000 0.0000  8 Os 2.81
Ti 0.5000 0.5000 0.5000  8 Os 2.81
Os 0.2500 0.2500 0.2500  4 Ti 2.81, 4 Y 2.81
Os 0.2500 0.2500 0.7500  4 Ti 2.81, 4 Y 2.81
Os 0.2500 0.7500 0.2500  4 Ti 2.81, 4 Y 2.81
Os 0.2500 0.7500 0.7500  4 Ti 2.81, 4 Y 2.81
Os 0.7500 0.2500 0.2500  4 Ti 2.81, 4 Y 2.81
Os 0.7500 0.2500 0.7500  4 Ti 2.81, 4 Y 2.81
Os 0.7500 0.7500 0.2500  4 Ti 2.81, 4 Y 2.81
Os 0.7500 0.7500 0.7500  4 Ti 2.81, 4 Y 2.81

Results
As for the formation energy: -0.189 eV per atom. Its energy above the lowest structure with this stoichiometry is 43 kJ/mol of formula units.

No. 5
Below is a relaxed structure of NdYAu3, with properties calculated at the PBE-GGA level.

a = 8.0007 Å, b = 8.0007 Å, c = 6.2292 Å
α = 107.68°, β = 107.68°, γ = 38.83°
With the nearest neighbours (Å) after each atom.
Atoms (fractional coordinates):
Nd 0.0949 0.0949 0.4028  8 Au 2.99-3.23
Nd 0.9051 0.9051 0.5972  8 Au 2.99-3.23
Y 0.3150 0.3150 0.8902  9 Au 2.96-3.26
Y 0.6850 0.6850 0.1098  9 Au 2.96-3.26
Au 0.1175 0.1175 0.9137  3 Y 2.97-3.03, 3 Nd 3.09-3.18, 3 Au 3.17-3.20
Au 0.2893 0.2893 0.3772  3 Nd 2.99-3.23, 4 Y 3.09-3.26, 2 Au 3.20-3.28
Au 0.4983 0.4983 0.2564  2 Y 2.96-3.23, 5 Au 3.02-3.28, 2 Nd 3.03
Au 0.5017 0.5017 0.7436  2 Y 2.96-3.23, 5 Au 3.02-3.28, 2 Nd 3.03
Au 0.7107 0.7107 0.6228  3 Nd 2.99-3.23, 4 Y 3.09-3.26, 2 Au 3.20-3.28
Au 0.8825 0.8825 0.0863  3 Y 2.97-3.03, 3 Nd 3.09-3.18, 3 Au 3.17-3.20

Results
As for the formation energy: -0.735 eV per atom.

No. 6
Below is a relaxed structure of Rb2Tl2Pb3, with properties calculated at the PBE-GGA level.

a = 13.5473 Å, b = 5.1925 Å, c = 8.4689 Å
α = 90.00°, β = 116.55°, γ = 90.00°
With the nearest neighbours (Å) after each atom.
Atoms (fractional coordinates):
Rb 0.1511 0.0000 0.2896  7 Pb 3.81-4.24, 4 Tl 3.86-3.96, 2 Rb 4.25
Rb 0.3489 0.5000 0.7104  7 Pb 3.81-4.24, 4 Tl 3.86-3.96, 2 Rb 4.25
Rb 0.6511 0.5000 0.2896  7 Pb 3.81-4.24, 4 Tl 3.86-3.96, 2 Rb 4.25
Rb 0.8489 0.0000 0.7104  7 Pb 3.81-4.24, 4 Tl 3.86-3.96, 2 Rb 4.25
Tl 0.1539 0.0000 0.7597  5 Pb 3.25-3.44
Tl 0.3461 0.5000 0.2403  5 Pb 3.25-3.44
Tl 0.6539 0.5000 0.7597  5 Pb 3.25-3.44
Tl 0.8461 0.0000 0.2403  5 Pb 3.25-3.44
Pb 0.0000 0.5000 0.5000  2 Pb 3.28, 4 Tl 3.44
Pb 0.0923 0.5000 0.9296  2 Pb 3.22-3.28, 3 Tl 3.25-3.26
Pb 0.4077 0.0000 0.0704  2 Pb 3.22-3.28, 3 Tl 3.25-3.26
Pb 0.5000 0.0000 0.5000  2 Pb 3.28, 4 Tl 3.44
Pb 0.5923 0.0000 0.9296  2 Pb 3.22-3.28, 3 Tl 3.25-3.26
Pb 0.9077 0.5000 0.0704  2 Pb 3.22-3.28, 3 Tl 3.25-3.26

Results
As for the formation energy: -0.086 eV per atom. Its energy above the lowest structure with this stoichiometry is 0 kJ/mol of formula units.

No. 7
Below is a relaxed structure of Rb2ZnGeIr, with properties calculated at the PBE-GGA level.

a = 6.8579 Å, b = 6.8579 Å, c = 4.5217 Å
α = 90.00°, β = 90.00°, γ = 90.00°
With the nearest neighbours (Å) after each atom.
Atoms (fractional coordinates):
Rb 0.0000 0.5000 0.0000  2 Ge 3.43
Rb 0.5000 0.0000 0.0000  2 Ge 3.43
Zn 0.0000 0.0000 0.5000  2 Ge 2.26
Ge 0.0000 0.0000 0.0000  2 Zn 2.26
Ir 0.5000 0.5000 0.5000  8 Rb 4.11, 2 Ir 4.52

Results
As for the formation energy: 1.030 eV per atom.

No. 8
Below is a relaxed structure of DyMgTlI6, with properties calculated at the PBE-GGA level.

a = 7.7368 Å, b = 7.7368 Å, c = 15.2885 Å
α = 90.00°, β = 90.00°, γ = 120.00°
With the nearest neighbours (Å) after each atom.
Atoms (fractional coordinates):
Dy 0.3333 0.6667 0.2500  6 I 3.04
Dy 0.6667 0.3333 0.7500  6 I 3.04
Mg 0.3333 0.6667 0.7500  6 I 2.96
Mg 0.6667 0.3333 0.2500  6 I 2.96
Tl 0.0000 0.0000 0.0000  6 I 3.54
Tl 0.0000 0.0000 0.5000  6 I 3.54
I 0.0086 0.3730 0.6371  1 Mg 2.96, 1 Dy 3.04
I 0.0086 0.6356 0.8629  1 Mg 2.96, 1 Dy 3.04
I 0.3644 0.3730 0.8629  1 Mg 2.96, 1 Dy 3.04
I 0.3644 0.9914 0.6371  1 Mg 2.96, 1 Dy 3.04
I 0.3730 0.0086 0.1371  1 Mg 2.96, 1 Dy 3.04
I 0.3730 0.3644 0.3629  1 Mg 2.96, 1 Dy 3.04
I 0.6270 0.6356 0.6371  1 Mg 2.96, 1 Dy 3.04
I 0.6270 0.9914 0.8629  1 Mg 2.96, 1 Dy 3.04
I 0.6356 0.0086 0.3629  1 Mg 2.96, 1 Dy 3.04
I 0.6356 0.6270 0.1371  1 Mg 2.96, 1 Dy 3.04
I 0.9914 0.3644 0.1371  1 Mg 2.96, 1 Dy 3.04
I 0.9914 0.6270 0.3629  1 Mg 2.96, 1 Dy 3.04

Results
As for the uncorrected formation energy: -1101.6 meV/atom.

No. 9
Below is a relaxed structure of In2SiSb, with properties calculated at the PBE-GGA level.

a = 4.9504 Å, b = 4.9504 Å, c = 8.0428 Å
α = 90.00°, β = 90.00°, γ = 90.00°
With the nearest neighbours (Å) after each atom.
Atoms (fractional coordinates):
In 0.0000 0.0000 0.0000  4 In 3.19, 4 Sb 3.19, 4 Si 3.50
In 0.0000 0.5000 0.2500  4 In 3.19, 4 Si 3.19, 4 Sb 3.50
In 0.5000 0.0000 0.7500  4 In 3.19, 4 Si 3.19, 4 Sb 3.50
In 0.5000 0.5000 0.5000  4 In 3.19, 4 Sb 3.19, 4 Si 3.50
Si 0.0000 0.0000 0.5000  8 In 3.19-3.50, 4 Sb 3.19
Si 0.5000 0.5000 0.0000  8 In 3.19-3.50, 4 Sb 3.19
Sb 0.0000 0.5000 0.7500  8 In 3.19-3.50, 4 Si 3.19
Sb 0.5000 0.0000 0.2500  8 In 3.19-3.50, 4 Si 3.19

Results
As for the uncorrected formation energy: 323.2 meV/atom. Its energy above the lowest structure with this stoichiometry is 62 kJ/mol of formula units.

No. 10
Below is a relaxed structure of Zn14AgAu, with properties calculated at the PBE-GGA level.

a = 9.3791 Å, b = 5.4903 Å, c = 5.4903 Å
α = 60.59°, β = 90.00°, γ = 90.00°
With the nearest neighbours (Å) after each atom.
Atoms (fractional coordinates):
Zn 0.0000 0.0000 0.0000  12 Zn 2.75-2.82
Zn 0.0000 0.0004 0.4998  12 Zn 2.74-2.83
Zn 0.0000 0.4993 0.4993  12 Zn 2.74-2.82
Zn 0.0000 0.4998 0.0004  12 Zn 2.74-2.83
Zn 0.2446 0.6646 0.6646  11 Zn 2.73-2.87, 1 Ag 2.86
Zn 0.2479 0.1642 0.1642  11 Zn 2.73-2.86, 1 Au 2.83
Zn 0.2480 0.1663 0.6662  10 Zn 2.73-2.83, 1 Ag 2.86, 1 Au 2.86
Zn 0.2480 0.6662 0.1663  10 Zn 2.73-2.83, 1 Ag 2.86, 1 Au 2.86
Zn 0.5000 0.3334 0.8278  2 Ag 2.73-2.76, 8 Zn 2.74-2.87, 2 Au 2.74-2.75
Zn 0.5000 0.8278 0.3334  2 Ag 2.73-2.76, 8 Zn 2.74-2.87, 2 Au 2.74-2.75
Zn 0.7521 0.1642 0.1642  11 Zn 2.73-2.86, 1 Au 2.83
Zn 0.7520 0.1663 0.6662  10 Zn 2.73-2.83, 1 Ag 2.86, 1 Au 2.86
Zn 0.7520 0.6662 0.1663  10 Zn 2.73-2.83, 1 Ag 2.86, 1 Au 2.86
Zn 0.7554 0.6646 0.6646  11 Zn 2.73-2.87, 1 Ag 2.86
Ag 0.5000 0.8302 0.8302  10 Zn 2.73-2.86, 2 Au 2.77
Au 0.5000 0.3289 0.3289  10 Zn 2.74-2.86, 2 Ag 2.77

Results
As for the formation energy: -0.028 eV per atom.

No. 11
Below is a relaxed structure of In3IrCl, with properties calculated at the PBE-GGA level.

a = 8.5139 Å, b = 8.5139 Å, c = 6.9493 Å
α = 94.08°, β = 94.08°, γ = 94.99°
With the nearest neighbours (Å) after each atom.
Atoms (fractional coordinates):
In 0.0154 0.1707 0.4661  3 Ir 2.73-2.90, 2 In 2.97-2.98
In 0.0172 0.4289 0.1982  2 Ir 2.78, 2 In 2.98-3.09
In 0.1707 0.0154 0.9661  3 Ir 2.73-2.90, 2 In 2.97-2.98
In 0.2898 0.3373 0.8170  1 Cl 2.75, 1 Ir 2.76
In 0.3373 0.2898 0.3170  1 Cl 2.75, 1 Ir 2.76
In 0.4289 0.0172 0.6982  2 Ir 2.78, 2 In 2.98-3.09
In 0.5711 0.9828 0.3018  2 Ir 2.78, 2 In 2.98-3.09
In 0.6627 0.7102 0.6830  1 Cl 2.75, 1 Ir 2.76
In 0.7102 0.6627 0.1830  1 Cl 2.75, 1 Ir 2.76
In 0.8293 0.9846 0.0339  3 Ir 2.73-2.90, 2 In 2.97-2.98
In 0.9828 0.5711 0.8018  2 Ir 2.78, 2 In 2.98-3.09
In 0.9846 0.8293 0.5339  3 Ir 2.73-2.90, 2 In 2.97-2.98
Ir 0.0263 0.7520 0.1546  1 Cl 2.53, 4 In 2.73-2.78, 1 Ir 2.75
Ir 0.2480 0.9737 0.3454  1 Cl 2.53, 4 In 2.73-2.78, 1 Ir 2.75
Ir 0.7520 0.0263 0.6546  1 Cl 2.53, 4 In 2.73-2.78, 1 Ir 2.75
Ir 0.9737 0.2480 0.8454  1 Cl 2.53, 4 In 2.73-2.78, 1 Ir 2.75
Cl 0.3063 0.6937 0.2500  2 Ir 2.53
Cl 0.3498 0.6502 0.7500  2 In 2.75
Cl 0.6502 0.3498 0.2500  2 In 2.75
Cl 0.6937 0.3063 0.7500  2 Ir 2.53

Results
As for the uncorrected formation energy: -97.6 meV/atom. Its energy above the lowest structure with this stoichiometry is 164 kJ/mol of formula units.

No. 12
Below is a relaxed structure of ZrFeN, with properties calculated at the PBE-GGA level.

a = 12.7554 Å, b = 3.1608 Å, c = 3.8764 Å
α = 90.00°, β = 92.52°, γ = 90.00°
With the nearest neighbours (Å) after each atom.
Atoms (fractional coordinates):
Zr 0.0000 0.0000 0.0000  3 N 2.27
Zr 0.2462 0.5000 0.0308  4 N 2.26-2.27
Zr 0.5000 0.5000 0.0000  3 N 2.27
Zr 0.7462 0.0000 0.0308  4 N 2.26-2.27
Fe 0.1030 0.5000 0.4873  2 N 1.86
Fe 0.3920 0.0000 0.4876  2 N 1.93-1.98
Fe 0.6030 0.0000 0.4873  2 N 1.86
Fe 0.8920 0.5000 0.4876  2 N 1.93-1.98
N 0.1553 0.0000 0.3104  2 Fe 1.86
N 0.3724 0.0000 0.9775  2 Fe 1.93-1.98
N 0.6553 0.5000 0.3104  2 Fe 1.86
N 0.8724 0.5000 0.9775  2 Fe 1.93-1.98

Results
As for the uncorrected formation energy: -639.6 meV/atom. Its energy above the lowest structure with this stoichiometry is 75 kJ/mol of formula units.

Taking the records one at a time from the top gives electronic total energy values of -3.90 -5.22 -4.85 -9.39 -4.95 -2.63 -2.31 -3.09 -3.43 -1.53 -3.88 -9.09 eV per atom.